[1]
! PBE Tb3Sb2W3N12, optimized geometry; values from VASP
&SYSTEM
  ibrav = 0, nat = 80, ntyp = 4
/
ATOMIC_SPECIES
N 14.01 N.upf
Tb 158.93 Tb.upf
W 183.84 W.upf
Sb 121.76 Sb.upf
ATOMIC_POSITIONS crystal
N 0.878 0.975 0.791
N 0.475 0.597 0.184
N 0.209 0.587 0.184
N 0.087 0.878 0.403
N 0.209 0.122 0.025
N 0.316 0.913 0.291
N 0.975 0.791 0.878
N 0.709 0.684 0.087
N 0.403 0.816 0.525
N 0.184 0.475 0.597
N 0.097 0.975 0.684
N 0.025 0.209 0.122
N 0.587 0.184 0.209
N 0.025 0.316 0.903
N 0.378 0.291 0.475
N 0.709 0.525 0.622
N 0.316 0.903 0.025
N 0.622 0.413 0.097
N 0.913 0.291 0.316
N 0.684 0.087 0.709
N 0.475 0.378 0.291
N 0.597 0.913 0.122
N 0.403 0.087 0.878
N 0.291 0.316 0.913
N 0.525 0.403 0.816
N 0.816 0.791 0.413
N 0.878 0.403 0.087
N 0.913 0.122 0.597
N 0.087 0.709 0.684
N 0.597 0.184 0.475
N 0.291 0.475 0.378
N 0.525 0.622 0.709
N 0.975 0.684 0.097
N 0.413 0.816 0.791
N 0.903 0.378 0.587
N 0.122 0.025 0.209
N 0.684 0.097 0.975
N 0.791 0.878 0.975
N 0.622 0.709 0.525
N 0.184 0.209 0.587
N 0.587 0.903 0.378
N 0.122 0.597 0.913
N 0.413 0.097 0.622
N 0.791 0.413 0.816
N 0.378 0.587 0.903
N 0.816 0.525 0.403
N 0.097 0.622 0.413
N 0.903 0.025 0.316
Tb 0.875 0.625 0.250
Tb 0.375 0.125 0.250
Tb 0.125 0.250 0.375
Tb 0.750 0.625 0.875
Tb 0.375 0.750 0.125
Tb 0.875 0.750 0.625
Tb 0.625 0.250 0.875
Tb 0.125 0.375 0.750
Tb 0.750 0.125 0.375
Tb 0.250 0.375 0.125
Tb 0.625 0.875 0.750
Tb 0.250 0.875 0.625
W 0.125 0.875 0.250
W 0.375 0.625 0.750
W 0.125 0.750 0.875
W 0.250 0.125 0.875
W 0.625 0.750 0.375
W 0.750 0.375 0.625
W 0.250 0.625 0.375
W 0.625 0.375 0.250
W 0.875 0.125 0.750
W 0.750 0.875 0.125
W 0.875 0.250 0.125
W 0.375 0.250 0.625
Sb 0.500 0.500 0.000
Sb 0.000 0.000 0.000
Sb 0.000 0.500 0.000
Sb 0.500 0.000 0.500
Sb 0.000 0.000 0.500
Sb 0.500 0.500 0.500
Sb 0.000 0.500 0.500
Sb 0.500 0.000 0.000
CELL_PARAMETERS angstrom
-6.443 6.443 6.443
6.443 -6.443 6.443
6.443 6.443 -6.443
! calculated volume: 13.37 Å³/atom
! raw total energy: -693.261 eV for the cell shown
! size of the total moment: 0.0 μB/cell

[2]
! PBE RbCo, optimized geometry; values from VASP
&SYSTEM
  ibrav = 0, nat = 2, ntyp = 2
/
ATOMIC_SPECIES
Rb 85.47 Rb.upf
Co 58.93 Co.upf
ATOMIC_POSITIONS crystal
Rb 0.500 0.500 0.500
Co 0.000 0.000 0.000
CELL_PARAMETERS angstrom
4.143 0.000 0.000
0.000 4.143 0.000
0.000 0.000 4.143
! calculated volume: 35.56 Å³/atom
! raw total energy: -4.915 eV for the cell shown
! size of the total moment: 2.0 μB/cell

Number 1: calculated density 8.9 Mg/m³. Number 2: calculated density 3.4 Mg/m³.